This record from the Open Quantum Materials Database describes crystalline ZrAlPdC at its relaxed geometry. The functional is GGA-PBE.

The space group is P-6m2 (No. 187) and the conventional cell measures 3.1986, 3.1986 and 13.1007 Å, with angles of 90.00, 90.00 and 120.00 degrees. The inequivalent atoms are Zr at (0.0000, 0.0000, 0.0000), Zr at (0.3333, 0.6667, 0.5000), Al at (0.6667, 0.3333, 0.1824), Pd at (0.0000, 0.0000, 0.3348) and C at (0.3333, 0.6667, 0.1136).

The offset from the most stable computed form is 24 meV per atom.